No. 1
Compound: KIn2Pb
Source: Alexandria
Functional: meta-GGA SCAN
Structure: single point on PBEsol structure

Unit cell a=5.2608 b=5.2608 c=7.2932 alpha=97.16 beta=97.16 gamma=38.63
Closest atoms and distances in Å follow each position.
Positions (direct):
K 0.0000 0.0000 0.0000  2 K 3.48, 3 Pb 3.50-3.63, 3 In 3.52-3.60
In 0.4987 0.4987 0.4835  3 In 3.00-3.12, 3 Pb 3.13-3.19
In 0.7551 0.7551 0.3075  3 In 3.00-3.12, 2 Pb 3.31
Pb 0.2418 0.2418 0.6910  5 In 3.13-3.31, 2 Pb 3.48, 1 K 3.50

VASP energy   -1.3917 hartree per atom
Mass density   6327 kg/m3
Space-group type   Cm (8)

No. 2
Compound: KIn2Pb
Source: Alexandria
Functional: meta-GGA SCAN
Structure: single point on PBEsol structure

Unit cell a=3.3984 b=5.0676 c=7.3152 alpha=90.00 beta=102.81 gamma=90.00
Closest atoms and distances in Å follow each position.
Positions (direct):
K 0.0000 0.0000 0.0000  2 K 3.40, 6 In 3.61-3.71, 2 Pb 3.74
In 0.3340 0.5000 0.7176  2 In 3.00, 1 Pb 3.21
In 0.4135 0.0000 0.5084  2 In 3.00, 2 Pb 3.14
Pb 0.7008 0.5000 0.3196  4 In 3.14-3.41, 2 Pb 3.40

VASP energy   -1.3916 hartree per atom
Mass density   6433 kg/m3
Space-group type   Pm (6)

No. 3
Compound: KIn2Pb
Source: Alexandria
Functional: meta-GGA SCAN
Structure: single point on PBEsol structure

Unit cell a=3.8416 b=3.8416 c=8.1608 alpha=90.00 beta=90.00 gamma=90.00
Closest atoms and distances in Å follow each position.
Positions (direct):
K 0.0000 0.0000 0.0000  5 In 3.62-3.96, 4 Pb 3.70, 4 K 3.84
In 0.0000 0.0000 0.4846  4 In 3.13, 4 Pb 3.20
In 0.5000 0.5000 0.2930  4 In 3.13, 1 Pb 3.26
Pb 0.5000 0.5000 0.6930  5 In 3.20-3.26

VASP energy   -1.3917 hartree per atom
Mass density   6562 kg/m3
Space-group type   P4mm (99)

No. 4
Compound: K2InPb
Source: Alexandria
Functional: meta-GGA SCAN
Structure: single point on PBEsol structure

Unit cell a=3.7852 b=5.1862 c=7.2655 alpha=90.00 beta=103.41 gamma=90.00
Closest atoms and distances in Å follow each position.
Positions (direct):
K 0.0000 0.0000 0.0000  4 Pb 3.54-3.56, 3 In 3.68-3.90, 4 K 3.79-3.91
K 0.2957 0.5000 0.6611  4 In 3.53-3.56, 3 Pb 3.67-3.92, 4 K 3.79-3.91
In 0.6957 0.0000 0.4485  2 Pb 3.07
Pb 0.6013 0.5000 0.2150  2 In 3.07

Mass density   4790 kg/m3
ΔE to the lowest computed polymorph   0.60 kcal/mol of atoms
Space-group type   Pm (6)

No. 5
Compound: KIn2Pb2
Source: Alexandria
Functional: meta-GGA SCAN
Structure: single point on PBEsol structure

Unit cell a=8.0358 b=8.0358 c=8.0358 alpha=146.20 beta=146.20 gamma=48.55
Closest atoms and distances in Å follow each position.
Positions (direct):
K 0.0000 0.0000 0.0000  8 Pb 3.70
In 0.2500 0.7500 0.5000  4 Pb 3.07, 4 In 3.30
In 0.7500 0.2500 0.5000  4 Pb 3.07, 4 In 3.30
Pb 0.3862 0.3862 0.0000  4 In 3.07, 1 Pb 3.33
Pb 0.6138 0.6138 0.0000  4 In 3.07, 1 Pb 3.33

Mass density   7094 kg/m3
ΔE to the lowest computed polymorph   0.00 kcal/mol of atoms
Space-group type   I4/mmm (139)

No. 6
Compound: KIn2Pb
Source: Alexandria
Functional: meta-GGA SCAN
Structure: single point on PBEsol structure

Unit cell a=3.5429 b=4.4194 c=7.8555 alpha=90.00 beta=90.00 gamma=90.00
Closest atoms and distances in Å follow each position.
Positions (direct):
K 0.0000 0.0000 0.0000  2 K 3.54, 8 In 3.66, 2 Pb 3.93
In 0.5000 0.5000 0.2949  3 In 3.22-3.54, 4 Pb 3.26
In 0.5000 0.5000 0.7051  3 In 3.22-3.54, 4 Pb 3.26
Pb 0.0000 0.0000 0.5000  8 In 3.26, 2 Pb 3.54

VASP energy   -1.3911 hartree per atom
Mass density   6425 kg/m3
Space-group type   Pmmm (47)